This record from Alexandria describes a relaxed KCdRe2 crystal. The functional is PBE.

abc: 8.430 2.780 8.073
angles: 90.00 93.34 90.00
Space group Cm (No. 8)
Unique sites:
K 0.000 0.000 0.000 (multiplicity 2)
Cd 0.265 0.500 0.339 (multiplicity 2)
Re 0.237 0.000 0.684 (multiplicity 2)
Re 0.495 0.000 0.564 (multiplicity 2)

This record from Alexandria describes a relaxed KCdRe3 crystal. The functional is PBE.

abc: 5.034 5.034 5.034
angles: 90.00 90.00 90.00
Space group Pm-3m (No. 221)
Unique sites:
K 0.000 0.000 0.000 (multiplicity 1)
Cd 0.500 0.500 0.500 (multiplicity 1)
Re 0.000 0.500 0.500 (multiplicity 3)

This record from Alexandria describes a relaxed KCdRe crystal. The functional is PBE.

abc: 7.167 7.167 7.167
angles: 90.00 90.00 90.00
Space group F-43m (No. 216)
Unique sites:
K 0.000 0.000 0.000 (multiplicity 4)
Cd 0.000 0.000 0.500 (multiplicity 4)
Re 0.250 0.250 0.250 (multiplicity 4)

For reference, ΔH_f (0 K) by record: 0.774, 3.149, 1.821 eV/atom.